# GGA+U Ba4Ta10CoO30, relaxed
data_Ba4Ta10CoO30
_cell_length_a 7.8791
_cell_length_b 10.3231
_cell_length_c 15.3126
_cell_angle_alpha 90.00
_cell_angle_beta 90.00
_cell_angle_gamma 90.00
_space_group_name_H-M_alt 'I m m 2'
_space_group_IT_number 44
_space_group_name_Hall 'I 2 -2'
loop_
_atom_site_label
_atom_site_fract_x
_atom_site_fract_y
_atom_site_fract_z
_atom_site_occupancy
Ba1 0.0000 0.0000 0.0000 1
Ba2 0.0000 0.0000 0.4044 1
Ba3 0.0000 0.5000 0.4861 1
Ba4 0.0000 0.5000 0.8953 1
Ta1 0.2483 0.1855 0.8232 1
Ta2 0.2492 0.0000 0.1948 1
Ta3 0.2504 0.1836 0.5711 1
Co1 0.0000 0.5000 0.2182 1
O1 0.0000 0.0000 0.1777 1
O2 0.0000 0.1672 0.5659 1
O3 0.0000 0.2018 0.8166 1
O4 0.0000 0.3040 0.0482 1
O5 0.0000 0.3597 0.3241 1
O6 0.0000 0.5000 0.7109 1
O7 0.2140 0.3657 0.1918 1
O8 0.2169 0.0000 0.8614 1
O9 0.2240 0.1313 0.2875 1
O10 0.2326 0.2530 0.4411 1
O11 0.2326 0.3696 0.5988 1
O12 0.2375 0.5000 0.0231 1
# Raw total energy: -819.62 eV per cell